20
Lattice="5.126 0.000 0.000 0.000 8.690 -2.857 0.000 0.055 11.300" Properties=species:S:1:pos:R:3 comment="PBE Ho6Al3Cd, optimized geometry" vol_a3_per_cell=504.16 formation_enthalpy_0k_ev_per_atom=-0.279 rho_kg_m3=7792 energy_ev_per_fu=-42.40 m_tot_mub_per_cell=0.00 pbc="T T T"
Ho 1.282 7.183 0.968
Ho 1.282 1.134 1.441
Ho 1.282 5.740 5.769
Ho 3.845 7.611 7.001
Ho 3.845 4.779 8.781
Ho 3.845 7.799 -1.179
Ho 3.845 1.562 7.474
Ho 1.282 0.946 9.622
Ho 1.282 3.965 -0.339
Ho 1.282 2.314 4.938
Ho 3.845 3.005 2.673
Ho 3.845 6.431 3.504
Al 1.282 3.385 7.799
Al 3.845 4.100 5.689
Al 3.845 1.966 -0.332
Al 3.845 5.360 0.643
Al 1.282 4.645 2.753
Al 1.282 6.779 8.775
Cd 1.282 8.355 3.962
Cd 3.845 0.390 4.480


3
Lattice="4.084 0.000 0.000 2.042 3.537 0.000 2.042 1.179 3.334" Properties=species:S:1:pos:R:3 comment="PBE NiOsAu, optimized geometry" vol_a3_per_cell=48.16 formation_enthalpy_0k_ev_per_atom=0.813 rho_kg_m3=15373 energy_ev_per_fu=-17.85 m_tot_mub_per_cell=1.12 pbc="T T T"
Ni 6.126 3.537 2.501
Os 0.000 0.000 0.000
Au 4.084 2.358 1.667


11
Lattice="-7.148 -1.155 -1.760 -3.113 -6.657 1.236 -5.657 -0.168 7.311" Properties=species:S:1:pos:R:3 comment="PBE Cs2CdSi2Se6, optimized geometry" vol_a3_per_cell=393.55 rho_kg_m3=3832 formation_energy_uncorrected_ev_per_atom=-0.612 energy_ev_per_fu=-41.10 m_tot_mub_per_cell=0.00 pbc="T T T"
Cs -4.166 -1.792 2.320
Cs -11.752 -6.187 4.467
Se -6.785 -2.035 5.403
Se -5.481 -5.355 2.283
Se -10.438 -2.624 4.504
Se -8.376 -5.436 6.035
Se -9.133 -5.945 1.384
Se -7.542 -2.544 0.752
Si -7.338 -4.666 1.314
Si -8.580 -3.313 5.473
Cd 0.000 0.000 0.000


10
Lattice="4.676 0.000 0.000 2.338 4.050 0.000 2.338 1.350 5.374" Properties=species:S:1:pos:R:3 comment="PBE HfThTc2H6, optimized geometry" vol_a3_per_cell=101.77 rho_kg_m3=9996 energy_ev_per_fu=-61.68 m_tot_mub_per_cell=0.00 pbc="T T T"
H 4.677 1.385 4.381
H 4.675 4.014 0.993
H 5.815 2.044 0.993
H 3.538 2.041 0.993
H 3.537 3.356 4.381
H 5.814 3.358 4.381
Hf 4.676 2.700 2.687
Tc 7.014 4.050 3.271
Tc 2.338 1.350 2.102
Th 0.000 0.000 0.000


3
Lattice="3.366 0.000 0.000 -1.683 2.915 0.000 0.000 0.000 7.326" Properties=species:S:1:pos:R:3 comment="PBE BaTaMn, optimized geometry" vol_a3_per_cell=71.90 formation_enthalpy_0k_ev_per_atom=0.937 rho_kg_m3=8619 energy_ev_per_fu=-20.14 m_tot_mub_per_cell=1.14 pbc="T T T"
Mn 1.683 0.972 2.832
Ta 0.000 1.944 4.334
Ba 0.000 0.000 0.160


4
Lattice="0.000 3.272 3.272 3.272 0.000 3.272 3.272 3.272 0.000" Properties=species:S:1:pos:R:3 comment="PBE Sn2HPd, optimized geometry" vol_a3_per_cell=70.09 rho_kg_m3=8170 energy_ev_per_fu=-16.24 m_tot_mub_per_cell=0.00 pbc="T T T"
H 0.000 0.000 0.000
Sn 4.909 4.909 4.909
Sn 1.636 1.636 1.636
Pd 3.272 3.272 3.272


28
Lattice="-2.735 -4.819 3.384 1.948 -4.080 -4.660 5.610 -0.634 3.208" Properties=species:S:1:pos:R:3 comment="PBE Na3Re2H9, optimized geometry" vol_a3_per_cell=273.27 rho_kg_m3=5474 energy_ev_per_fu=-58.78 m_tot_mub_per_cell=0.00 pbc="T T T"
H -1.524 -5.488 2.166
H 2.509 -1.729 0.455
H 2.977 -4.287 -3.145
H 0.634 -2.922 -0.746
H 4.249 -4.846 1.093
H 6.347 -4.046 -0.234
H 4.349 -7.034 0.192
H 2.014 -5.689 2.512
H 2.313 -7.804 1.476
H 4.580 -2.151 3.395
H 1.846 -5.246 5.076
H 2.641 -3.376 2.154
H 0.474 -2.499 1.740
H 4.189 -6.611 2.678
H 2.182 -6.157 -0.222
H 0.243 -7.383 -1.463
H 0.574 -4.688 0.839
H 2.809 -3.845 -0.580
Na 0.016 -6.959 1.213
Na 0.761 -5.135 -1.817
Na 4.362 -5.326 -1.581
Na 4.062 -4.398 3.749
Na 0.461 -4.207 3.513
Na 4.807 -2.574 0.719
Re 3.075 -6.078 1.232
Re 4.159 -8.222 1.666
Re 0.663 -1.311 0.266
Re 1.748 -3.455 0.700


5
Lattice="4.397 0.000 0.000 0.000 4.397 0.000 0.000 0.000 5.755" Properties=species:S:1:pos:R:3 comment="PBE LaTeIN2, optimized geometry" vol_a3_per_cell=111.28 rho_kg_m3=6288 formation_energy_uncorrected_ev_per_atom=0.809 energy_ev_per_fu=-22.22 m_tot_mub_per_cell=0.00 pbc="T T T"
N 0.000 2.199 0.000
N 2.199 0.000 0.000
Te 0.000 0.000 0.000
La 2.199 2.199 2.877
I 0.000 0.000 2.877